No. 1
{
  "formula": "SrOs2Ru",
  "functional": "PBE-GGA",
  "state": "optimized geometry",
  "cell": [[-3.975, -1.772, -2.672], [-1.753, -1.765, -4.460], [0.501, -5.507, 0.600]],
  "species": ["Os", "Os", "Ru", "Sr"],
  "frac_coords": [[0.974, 0.974, 0.079], [0.526, 0.526, 0.421], [0.250, 0.250, 0.250], [0.750, 0.750, 0.750]],
  "dos_at_fermi_per_ev_cell": 5.1,
  "energy_ev_per_atom": -7.62,
  "polymorph_energy_mev_per_atom": 125.2,
  "ef_mev_per_atom": 731,
  "vol_a3_per_fu": 75.8
}

=====

No. 2
{
  "formula": "Tl5Cd4",
  "functional": "PBE-GGA",
  "state": "optimized geometry",
  "cell": [[3.396, 0.000, 0.582], [1.698, 8.540, 0.291], [0.257, 0.000, 8.709]],
  "species": ["Tl", "Tl", "Tl", "Tl", "Tl", "Cd", "Cd", "Cd", "Cd"],
  "frac_coords": [[0.000, 0.000, 0.000], [0.332, 0.000, 0.335], [0.668, 0.000, 0.665], [0.668, 0.665, 0.000], [0.332, 0.335, 0.000], [0.344, 0.656, 0.656], [0.656, 0.344, 0.344], [0.000, 0.344, 0.656], [0.000, 0.656, 0.344]],
  "dos_at_fermi_per_ev_cell": 4.3,
  "energy_ev_per_atom": -1.66,
  "polymorph_energy_mev_per_atom": 17.6,
  "ef_mev_per_atom": 58,
  "vol_a3_per_fu": 251.3
}

=====

No. 3
{
  "formula": "Li2AcInPd",
  "functional": "PBE-GGA",
  "state": "optimized geometry",
  "cell": [[4.051, 0.000, 0.000], [0.000, 4.473, 0.000], [-2.026, -2.237, 6.363]],
  "species": ["Li", "Li", "Ac", "In", "Pd"],
  "frac_coords": [[0.705, 0.205, 0.411], [0.052, 0.052, 0.104], [0.427, 0.427, 0.853], [0.185, 0.685, 0.370], [0.843, 0.843, 0.686]],
  "dos_at_fermi_per_ev_cell": 2.4,
  "energy_ev_per_atom": -3.60,
  "ef_mev_per_atom": -428,
  "vol_a3_per_fu": 115.3
}

=====

No. 4
{
  "formula": "PuIF2",
  "functional": "PBE-GGA",
  "state": "optimized geometry",
  "cell": [[-4.073, -0.475, 0.438], [-1.533, -1.514, 3.516], [-2.253, 4.562, 3.400]],
  "species": ["I", "F", "F", "Pu"],
  "frac_coords": [[0.500, 0.500, 0.500], [0.306, 0.306, 0.083], [0.694, 0.694, 0.917], [0.000, 0.000, 0.000]],
  "e_form_raw_ev_per_atom": -2.67,
  "dos_at_fermi_per_ev_cell": 5.7,
  "energy_ev_per_atom": -7.57,
  "polymorph_energy_mev_per_atom": 49.4,
  "vol_a3_per_fu": 83.0
}

=====

No. 5
{
  "formula": "Ti5SnPd4",
  "functional": "PBE-GGA",
  "state": "optimized geometry",
  "cell": [[-0.015, -4.125, 1.472], [8.124, -0.713, -1.918], [2.347, 3.124, 8.778]],
  "species": ["Ti", "Ti", "Ti", "Ti", "Ti", "Ti", "Ti", "Ti", "Ti", "Ti", "Sn", "Sn", "Pd", "Pd", "Pd", "Pd", "Pd", "Pd", "Pd", "Pd"],
  "frac_coords": [[0.185, 0.676, 0.842], [0.185, 0.324, 0.842], [0.687, 0.500, 0.000], [0.185, 0.676, 0.158], [0.185, 0.324, 0.158], [0.815, 0.824, 0.342], [0.815, 0.176, 0.342], [0.313, 0.000, 0.500], [0.815, 0.176, 0.658], [0.815, 0.824, 0.658], [0.088, 0.000, 0.000], [0.912, 0.500, 0.500], [0.353, 0.000, 0.759], [0.623, 0.805, 0.000], [0.623, 0.195, 0.000], [0.353, 0.000, 0.241], [0.647, 0.500, 0.259], [0.377, 0.695, 0.500], [0.377, 0.305, 0.500], [0.647, 0.500, 0.741]],
  "dos_at_fermi_per_ev_cell": 20.0,
  "energy_ev_per_atom": -6.67,
  "ef_mev_per_atom": -250,
  "vol_a3_per_fu": 176.3
}

=====

No. 6
{
  "formula": "GdSiAu2",
  "functional": "PBE-GGA",
  "state": "optimized geometry",
  "cell": [[4.301, 0.000, 0.000], [2.151, 3.725, 0.000], [2.151, 1.242, 5.258]],
  "species": ["Si", "Gd", "Au", "Au"],
  "frac_coords": [[0.500, 0.500, 0.500], [0.000, 0.000, 0.000], [0.778, 0.778, 0.665], [0.222, 0.222, 0.335]],
  "e_form_raw_ev_per_atom": -0.52,
  "dos_at_fermi_per_ev_cell": 2.8,
  "energy_ev_per_atom": -7.04,
  "vol_a3_per_fu": 84.2
}